1.
! PBE MgSiP2Ru, optimized geometry; values from VASP
&SYSTEM
  ibrav = 0, nat = 5, ntyp = 4
/
ATOMIC_SPECIES
Mg 24.30 Mg.upf
Si 28.09 Si.upf
P 30.97 P.upf
Ru 101.07 Ru.upf
CELL_PARAMETERS angstrom
4.484 0.000 0.000
0.000 4.484 0.000
0.000 0.000 4.997
ATOMIC_POSITIONS crystal
Mg 0.000 0.000 0.000
Si 0.500 0.500 0.000
P 0.000 0.500 0.500
P 0.500 0.000 0.500
Ru 0.000 0.000 0.500
! **D(E_F)**: 0.561 states/eV per atom
! **Raw formation energy**: 500 meV/atom

***

2.
! PBE SrMgPRu2, optimized geometry; values from VASP
&SYSTEM
  ibrav = 0, nat = 5, ntyp = 4
/
ATOMIC_SPECIES
Sr 87.62 Sr.upf
Mg 24.30 Mg.upf
P 30.97 P.upf
Ru 101.07 Ru.upf
CELL_PARAMETERS angstrom
4.934 0.000 0.000
0.000 4.934 0.000
0.000 0.000 5.408
ATOMIC_POSITIONS crystal
Sr 0.000 0.000 0.000
Mg 0.500 0.500 0.500
P 0.000 0.000 0.500
Ru 0.000 0.500 0.000
Ru 0.500 0.000 0.000
! **D(E_F)**: 1.798 states/eV per atom
! **DFT formation energy**: 1.958 eV per atom

***

3.
! PBE MgVP2Ru, optimized geometry; values from VASP
&SYSTEM
  ibrav = 0, nat = 5, ntyp = 4
/
ATOMIC_SPECIES
Mg 24.30 Mg.upf
V 50.94 V.upf
P 30.97 P.upf
Ru 101.07 Ru.upf
CELL_PARAMETERS angstrom
4.566 0.000 0.000
0.000 4.566 0.000
0.000 0.000 4.770
ATOMIC_POSITIONS crystal
Mg 0.000 0.000 0.000
V 0.500 0.500 0.000
P 0.000 0.500 0.500
P 0.500 0.000 0.500
Ru 0.500 0.500 0.500
! **D(E_F)**: 0.874 states/eV per atom
! **DFT formation energy**: 0.499 eV per atom

***

4.
! PBE MgP2S2, optimized geometry; values from VASP
&SYSTEM
  ibrav = 0, nat = 5, ntyp = 3
/
ATOMIC_SPECIES
Mg 24.30 Mg.upf
P 30.97 P.upf
S 32.06 S.upf
CELL_PARAMETERS angstrom
4.591 0.000 0.000
0.000 4.591 0.000
0.000 0.000 4.449
ATOMIC_POSITIONS crystal
Mg 0.000 0.000 0.000
P 0.500 0.500 0.000
P 0.500 0.500 0.500
S 0.000 0.500 0.500
S 0.500 0.000 0.500
! **D(E_F)**: 0.918 states/eV per atom
! **Raw formation energy**: 261 meV/atom

***

5.
! PBE MgPS3, optimized geometry; values from VASP
&SYSTEM
  ibrav = 0, nat = 20, ntyp = 3
/
ATOMIC_SPECIES
Mg 24.30 Mg.upf
P 30.97 P.upf
S 32.06 S.upf
CELL_PARAMETERS angstrom
6.080 0.000 0.000
0.000 7.246 0.000
-5.874 0.000 9.983
ATOMIC_POSITIONS crystal
Mg 0.120 0.045 0.237
Mg 0.120 0.455 0.737
Mg 0.880 0.545 0.263
Mg 0.880 0.955 0.763
P 0.480 0.125 0.053
P 0.480 0.375 0.553
P 0.520 0.625 0.447
P 0.520 0.875 0.947
S 0.129 0.230 0.920
S 0.129 0.270 0.420
S 0.223 0.714 0.921
S 0.223 0.786 0.421
S 0.472 0.540 0.269
S 0.472 0.960 0.769
S 0.528 0.040 0.231
S 0.528 0.460 0.731
S 0.777 0.214 0.579
S 0.777 0.286 0.079
S 0.871 0.730 0.580
S 0.871 0.770 0.080
! **D(E_F)**: 0.000 states/eV per atom
! **Raw formation energy**: -675 meV/atom

***

6.
! PBE MgPS2, optimized geometry; values from VASP
&SYSTEM
  ibrav = 0, nat = 4, ntyp = 3
/
ATOMIC_SPECIES
Mg 24.30 Mg.upf
P 30.97 P.upf
S 32.06 S.upf
CELL_PARAMETERS angstrom
0.000 3.207 3.207
3.207 0.000 3.207
3.207 3.207 0.000
ATOMIC_POSITIONS crystal
Mg 0.000 0.000 0.000
P 0.500 0.500 0.500
S 0.250 0.250 0.250
S 0.750 0.750 0.750
! **D(E_F)**: 0.491 states/eV per atom
! **Raw formation energy**: 91 meV/atom

***

7.
! PBE MgPS2, optimized geometry; values from VASP
&SYSTEM
  ibrav = 0, nat = 4, ntyp = 3
/
ATOMIC_SPECIES
Mg 24.30 Mg.upf
P 30.97 P.upf
S 32.06 S.upf
CELL_PARAMETERS angstrom
1.703 0.983 8.037
-1.703 0.983 8.037
0.000 -1.966 8.037
ATOMIC_POSITIONS crystal
Mg 0.000 0.000 0.000
P 0.500 0.500 0.500
S 0.109 0.109 0.109
S 0.891 0.891 0.891
! **D(E_F)**: 0.584 states/eV per atom
! **Raw formation energy**: -14 meV/atom

***

8.
! PBE MgP2S6, optimized geometry; values from VASP
&SYSTEM
  ibrav = 0, nat = 9, ntyp = 3
/
ATOMIC_SPECIES
Mg 24.30 Mg.upf
P 30.97 P.upf
S 32.06 S.upf
CELL_PARAMETERS angstrom
6.759 0.000 0.000
-3.379 5.853 0.000
0.000 0.000 7.369
ATOMIC_POSITIONS crystal
Mg 0.000 0.000 0.000
P 0.333 0.667 0.213
P 0.667 0.333 0.787
S 0.167 0.334 0.242
S 0.167 0.833 0.242
S 0.334 0.167 0.758
S 0.666 0.833 0.242
S 0.833 0.167 0.758
S 0.833 0.666 0.758
! **D(E_F)**: 0.145 states/eV per atom
! **Raw formation energy**: -196 meV/atom

***

9.
! PBE Mg4PS6, optimized geometry; values from VASP
&SYSTEM
  ibrav = 0, nat = 22, ntyp = 3
/
ATOMIC_SPECIES
Mg 24.30 Mg.upf
P 30.97 P.upf
S 32.06 S.upf
CELL_PARAMETERS angstrom
5.804 -3.440 0.000
5.804 3.440 0.000
-3.789 0.000 11.966
ATOMIC_POSITIONS crystal
Mg 0.028 0.388 0.827
Mg 0.071 0.929 0.500
Mg 0.232 0.498 0.143
Mg 0.388 0.028 0.327
Mg 0.498 0.232 0.643
Mg 0.541 0.775 0.026
Mg 0.775 0.541 0.526
Mg 0.929 0.071 0.000
P 0.166 0.750 0.763
P 0.750 0.166 0.263
S 0.140 0.577 0.569
S 0.258 0.847 0.137
S 0.318 0.973 0.863
S 0.378 0.441 0.830
S 0.441 0.378 0.330
S 0.451 0.912 0.511
S 0.577 0.140 0.069
S 0.846 0.848 0.310
S 0.847 0.258 0.637
S 0.848 0.846 0.810
S 0.912 0.451 0.011
S 0.973 0.318 0.363
! **D(E_F)**: 0.073 states/eV per atom
! **Raw formation energy**: -988 meV/atom

***

10.
! PBE MgP3S, optimized geometry; values from VASP
&SYSTEM
  ibrav = 0, nat = 5, ntyp = 3
/
ATOMIC_SPECIES
Mg 24.30 Mg.upf
P 30.97 P.upf
S 32.06 S.upf
CELL_PARAMETERS angstrom
4.756 0.000 0.000
0.000 4.756 0.000
0.000 0.000 4.756
ATOMIC_POSITIONS crystal
Mg 0.000 0.000 0.000
P 0.000 0.000 0.500
P 0.000 0.500 0.000
P 0.500 0.000 0.000
S 0.500 0.500 0.500
! **D(E_F)**: 1.005 states/eV per atom
! **Raw formation energy**: 1288 meV/atom

***

11.
! PBE Mg2PS, optimized geometry; values from VASP
&SYSTEM
  ibrav = 0, nat = 8, ntyp = 3
/
ATOMIC_SPECIES
Mg 24.30 Mg.upf
P 30.97 P.upf
S 32.06 S.upf
CELL_PARAMETERS angstrom
-3.051 3.051 5.183
3.051 -3.051 5.183
3.051 3.051 -5.183
ATOMIC_POSITIONS crystal
Mg 0.109 0.625 0.984
Mg 0.375 0.359 0.484
Mg 0.641 0.125 0.016
Mg 0.875 0.891 0.516
P 0.250 0.750 0.500
P 0.500 0.500 0.000
S 0.000 0.000 0.000
S 0.750 0.250 0.500
! **D(E_F)**: 0.143 states/eV per atom
! **Raw formation energy**: -652 meV/atom

***

12.
! PBE MgPS2, optimized geometry; values from VASP
&SYSTEM
  ibrav = 0, nat = 8, ntyp = 3
/
ATOMIC_SPECIES
Mg 24.30 Mg.upf
P 30.97 P.upf
S 32.06 S.upf
CELL_PARAMETERS angstrom
-2.569 2.569 6.656
2.569 -2.569 6.656
2.569 2.569 -6.656
ATOMIC_POSITIONS crystal
Mg 0.000 0.000 0.000
Mg 0.750 0.250 0.500
P 0.250 0.750 0.500
P 0.500 0.500 0.000
S 0.149 0.625 0.024
S 0.375 0.399 0.524
S 0.601 0.125 0.976
S 0.875 0.851 0.476
! **D(E_F)**: 0.258 states/eV per atom
! **Raw formation energy**: -248 meV/atom

***

13.
! PBE MgPS3, optimized geometry; values from VASP
&SYSTEM
  ibrav = 0, nat = 5, ntyp = 3
/
ATOMIC_SPECIES
Mg 24.30 Mg.upf
P 30.97 P.upf
S 32.06 S.upf
CELL_PARAMETERS angstrom
4.530 0.000 0.000
0.000 4.530 0.000
0.000 0.000 4.530
ATOMIC_POSITIONS crystal
Mg 0.000 0.000 0.000
P 0.500 0.500 0.500
S 0.000 0.500 0.500
S 0.500 0.000 0.500
S 0.500 0.500 0.000
! **D(E_F)**: 0.459 states/eV per atom
! **Raw formation energy**: 22 meV/atom

***

14.
! PBE MgP3S, optimized geometry; values from VASP
&SYSTEM
  ibrav = 0, nat = 5, ntyp = 3
/
ATOMIC_SPECIES
Mg 24.30 Mg.upf
P 30.97 P.upf
S 32.06 S.upf
CELL_PARAMETERS angstrom
4.551 0.000 0.000
0.000 4.551 0.000
0.000 0.000 4.551
ATOMIC_POSITIONS crystal
Mg 0.000 0.000 0.000
P 0.000 0.500 0.500
P 0.500 0.000 0.500
P 0.500 0.500 0.000
S 0.500 0.500 0.500
! **D(E_F)**: 0.705 states/eV per atom
! **Raw formation energy**: 662 meV/atom

***

15.
! PBE MgP2S2, optimized geometry; values from VASP
&SYSTEM
  ibrav = 0, nat = 5, ntyp = 3
/
ATOMIC_SPECIES
Mg 24.30 Mg.upf
P 30.97 P.upf
S 32.06 S.upf
CELL_PARAMETERS angstrom
4.893 0.000 0.000
0.000 4.893 0.000
0.000 0.000 4.522
ATOMIC_POSITIONS crystal
Mg 0.000 0.000 0.000
P 0.000 0.500 0.000
P 0.500 0.000 0.000
S 0.000 0.000 0.500
S 0.500 0.500 0.500
! **D(E_F)**: 1.111 states/eV per atom
! **Raw formation energy**: 1077 meV/atom

***

16.
! PBE Mg2PS, optimized geometry; values from VASP
&SYSTEM
  ibrav = 0, nat = 4, ntyp = 3
/
ATOMIC_SPECIES
Mg 24.30 Mg.upf
P 30.97 P.upf
S 32.06 S.upf
CELL_PARAMETERS angstrom
0.000 3.280 3.280
3.280 0.000 3.280
3.280 3.280 0.000
ATOMIC_POSITIONS crystal
Mg 0.250 0.250 0.250
Mg 0.750 0.750 0.750
P 0.000 0.000 0.000
S 0.500 0.500 0.500
! **D(E_F)**: 0.588 states/eV per atom
! **Raw formation energy**: -361 meV/atom

***

17.
! PBE MgP2S2, optimized geometry; values from VASP
&SYSTEM
  ibrav = 0, nat = 5, ntyp = 3
/
ATOMIC_SPECIES
Mg 24.30 Mg.upf
P 30.97 P.upf
S 32.06 S.upf
CELL_PARAMETERS angstrom
4.548 0.000 0.000
0.000 4.548 0.000
0.000 0.000 4.618
ATOMIC_POSITIONS crystal
Mg 0.000 0.000 0.000
P 0.000 0.500 0.500
P 0.500 0.000 0.500
S 0.500 0.500 0.000
S 0.500 0.500 0.500
! **D(E_F)**: 0.591 states/eV per atom
! **Raw formation energy**: 566 meV/atom

***

18.
! PBE MgP2S2, optimized geometry; values from VASP
&SYSTEM
  ibrav = 0, nat = 10, ntyp = 3
/
ATOMIC_SPECIES
Mg 24.30 Mg.upf
P 30.97 P.upf
S 32.06 S.upf
CELL_PARAMETERS angstrom
7.927 0.000 0.000
0.000 7.927 0.000
0.000 0.000 3.272
ATOMIC_POSITIONS crystal
Mg 0.000 0.000 0.000
Mg 0.500 0.500 0.000
P 0.228 0.272 0.000
P 0.272 0.772 0.000
P 0.728 0.228 0.000
P 0.772 0.728 0.000
S 0.142 0.642 0.500
S 0.358 0.142 0.500
S 0.642 0.858 0.500
S 0.858 0.358 0.500
! **D(E_F)**: 0.151 states/eV per atom
! **Raw formation energy**: 31 meV/atom

***

19.
! PBE MgPS3, optimized geometry; values from VASP
&SYSTEM
  ibrav = 0, nat = 20, ntyp = 3
/
ATOMIC_SPECIES
Mg 24.30 Mg.upf
P 30.97 P.upf
S 32.06 S.upf
CELL_PARAMETERS angstrom
6.516 0.000 0.000
0.000 5.947 0.000
-5.288 0.000 11.213
ATOMIC_POSITIONS crystal
Mg 0.189 0.017 0.166
Mg 0.189 0.483 0.666
Mg 0.811 0.517 0.334
Mg 0.811 0.983 0.834
P 0.346 0.566 0.421
P 0.346 0.934 0.921
P 0.654 0.066 0.079
P 0.654 0.434 0.579
S 0.151 0.200 0.831
S 0.151 0.300 0.331
S 0.164 0.744 0.491
S 0.164 0.756 0.991
S 0.488 0.739 0.835
S 0.488 0.761 0.335
S 0.512 0.239 0.665
S 0.512 0.261 0.165
S 0.836 0.244 0.009
S 0.836 0.256 0.509
S 0.849 0.700 0.669
S 0.849 0.800 0.169
! **D(E_F)**: 0.000 states/eV per atom
! **Raw formation energy**: -718 meV/atom

***

20.
! PBE MgPS2, optimized geometry; values from VASP
&SYSTEM
  ibrav = 0, nat = 4, ntyp = 3
/
ATOMIC_SPECIES
Mg 24.30 Mg.upf
P 30.97 P.upf
S 32.06 S.upf
CELL_PARAMETERS angstrom
1.846 1.066 7.195
-1.846 1.066 7.195
0.000 -2.131 7.195
ATOMIC_POSITIONS crystal
Mg 0.000 0.000 0.000
P 0.500 0.500 0.500
S 0.398 0.398 0.398
S 0.602 0.602 0.602
! **D(E_F)**: 0.418 states/eV per atom
! **Raw formation energy**: -226 meV/atom

***

21.
! PBE MgP2S2, optimized geometry; values from VASP
&SYSTEM
  ibrav = 0, nat = 5, ntyp = 3
/
ATOMIC_SPECIES
Mg 24.30 Mg.upf
P 30.97 P.upf
S 32.06 S.upf
CELL_PARAMETERS angstrom
-2.499 2.499 3.646
2.499 -2.499 3.646
2.499 2.499 -3.646
ATOMIC_POSITIONS crystal
Mg 0.000 0.000 0.000
P 0.349 0.349 0.000
P 0.651 0.651 0.000
S 0.250 0.750 0.500
S 0.750 0.250 0.500
! **D(E_F)**: 0.579 states/eV per atom
! **Raw formation energy**: 237 meV/atom

***

22.
! PBE MgP2S6, optimized geometry; values from VASP
&SYSTEM
  ibrav = 0, nat = 18, ntyp = 3
/
ATOMIC_SPECIES
Mg 24.30 Mg.upf
P 30.97 P.upf
S 32.06 S.upf
CELL_PARAMETERS angstrom
6.452 -6.391 0.000
6.452 6.391 0.000
-2.581 0.000 5.211
ATOMIC_POSITIONS crystal
Mg 0.216 0.784 0.750
Mg 0.784 0.216 0.250
P 0.196 0.362 0.346
P 0.362 0.196 0.846
P 0.638 0.804 0.154
P 0.804 0.638 0.654
S 0.027 0.192 0.123
S 0.155 0.576 0.329
S 0.192 0.027 0.623
S 0.289 0.404 0.750
S 0.404 0.289 0.250
S 0.424 0.845 0.171
S 0.576 0.155 0.829
S 0.596 0.711 0.750
S 0.711 0.596 0.250
S 0.808 0.973 0.377
S 0.845 0.424 0.671
S 0.973 0.808 0.877
! **D(E_F)**: 0.000 states/eV per atom
! **Raw formation energy**: -399 meV/atom

***

23.
! PBE MgPS3, optimized geometry; values from VASP
&SYSTEM
  ibrav = 0, nat = 5, ntyp = 3
/
ATOMIC_SPECIES
Mg 24.30 Mg.upf
P 30.97 P.upf
S 32.06 S.upf
CELL_PARAMETERS angstrom
4.701 0.000 0.000
0.000 4.701 0.000
0.000 0.000 4.701
ATOMIC_POSITIONS crystal
Mg 0.000 0.000 0.000
P 0.500 0.500 0.500
S 0.000 0.000 0.500
S 0.000 0.500 0.000
S 0.500 0.000 0.000
! **D(E_F)**: 1.114 states/eV per atom
! **Raw formation energy**: 696 meV/atom

***

24.
! PBE MgP2S2, optimized geometry; values from VASP
&SYSTEM
  ibrav = 0, nat = 5, ntyp = 3
/
ATOMIC_SPECIES
Mg 24.30 Mg.upf
P 30.97 P.upf
S 32.06 S.upf
CELL_PARAMETERS angstrom
4.660 0.000 0.000
0.000 4.660 0.000
0.000 0.000 4.869
ATOMIC_POSITIONS crystal
Mg 0.000 0.000 0.000
P 0.000 0.000 0.500
P 0.500 0.500 0.500
S 0.000 0.500 0.000
S 0.500 0.000 0.000
! **D(E_F)**: 1.100 states/eV per atom
! **Raw formation energy**: 925 meV/atom

***

25.
! PBE MgSbP2S, optimized geometry; values from VASP
&SYSTEM
  ibrav = 0, nat = 5, ntyp = 4
/
ATOMIC_SPECIES
Mg 24.30 Mg.upf
Sb 121.76 Sb.upf
P 30.97 P.upf
S 32.06 S.upf
CELL_PARAMETERS angstrom
4.827 0.000 0.000
0.000 4.827 0.000
0.000 0.000 4.740
ATOMIC_POSITIONS crystal
Mg 0.000 0.000 0.000
Sb 0.500 0.500 0.500
P 0.000 0.500 0.000
P 0.500 0.000 0.000
S 0.000 0.000 0.500
! **D(E_F)**: 1.092 states/eV per atom
! **Raw formation energy**: 659 meV/atom